# 1
Sr2YRu: relaxed, PBE.

E_form (eV per atom): 0.5301
Fermi-level density of states (states/eV/cell): 3.66
Volume (Å³ per cell): 122.6

a = 4.966 Å, b = 3.998 Å, c = 6.641 Å
α = 68.46°, β = 90.00°, γ = 90.00°
Fractional positions:
Y1 0.500 0.250 0.250
Sr1 0.000 0.912 0.964
Sr2 0.000 0.588 0.536
Ru1 0.500 0.750 0.750

# 2
Sm6InSe3S2: relaxed, PBE.

Fermi-level density of states (states/eV/cell): 5.15
Raw formation energy (meV per atom): -1620
Volume (Å³ per cell): 309.0

a = 4.080 Å, b = 8.531 Å, c = 9.377 Å
α = 103.78°, β = 102.57°, γ = 90.00°
Fractional positions:
Sm1 0.330 0.428 0.659
In1 0.500 0.000 0.000
S1 0.830 0.664 0.661
Se1 0.500 0.500 0.000
Sm2 0.994 0.736 0.989
Sm3 0.330 0.902 0.660
Se2 0.835 0.170 0.670
Sm4 0.670 0.572 0.341
Sm5 0.006 0.264 0.011
S2 0.170 0.336 0.339
Se3 0.165 0.830 0.330
Sm6 0.670 0.098 0.340